Entry 1:
# ScMnBRu2 (GGA-PBE, optimized geometry)
data_ScMnBRu2
_space_group_name_H-M_alt 'P 1'
_space_group_IT_number 1
_space_group_name_Hall 'P 1'
_cell_length_a 4.181
_cell_length_b 4.181
_cell_length_c 3.931
_cell_angle_alpha 90.00
_cell_angle_beta 90.00
_cell_angle_gamma 90.00
loop_
_atom_site_label
_atom_site_type_symbol
_atom_site_fract_x
_atom_site_fract_y
_atom_site_fract_z
_atom_site_occupancy
Ru1 Ru 0.500 0.000 0.000 1
Ru2 Ru 0.000 0.500 0.000 1
B1 B 0.000 0.000 0.000 1
Sc1 Sc 0.500 0.500 0.500 1
Mn1 Mn 0.000 0.000 0.500 1
# **Space group**: No. 123
# **DOS(E_F)**: 0.576 states/eV per atom
# **Total energy**: -42.31 eV/f.u.
# **Volume**: 68.72 Å³/cell

---

Entry 2:
# TbPrHgPd (GGA-PBE, optimized geometry)
data_TbPrHgPd
_space_group_name_H-M_alt 'P 1'
_space_group_IT_number 1
_space_group_name_Hall 'P 1'
_cell_length_a 5.230
_cell_length_b 5.230
_cell_length_c 5.230
_cell_angle_alpha 60.00
_cell_angle_beta 60.00
_cell_angle_gamma 60.00
loop_
_atom_site_label
_atom_site_type_symbol
_atom_site_fract_x
_atom_site_fract_y
_atom_site_fract_z
_atom_site_occupancy
Hg1 Hg 0.500 0.500 0.500 1
Pd1 Pd 0.000 0.000 0.000 1
Pr1 Pr 0.250 0.250 0.250 1
Tb1 Tb 0.750 0.750 0.750 1
# **Space group**: No. 216
# **DOS(E_F)**: 0.843 states/eV per atom
# **Total energy**: -17.23 eV/f.u.
# **Volume**: 101.16 Å³/cell

---

Entry 3:
# Ac4La2Nd5 (GGA-PBE, optimized geometry)
data_Ac4La2Nd5
_space_group_name_H-M_alt 'P 1'
_space_group_IT_number 1
_space_group_name_Hall 'P 1'
_cell_length_a 3.746
_cell_length_b 9.972
_cell_length_c 12.419
_cell_angle_alpha 71.86
_cell_angle_beta 98.67
_cell_angle_gamma 90.00
loop_
_atom_site_label
_atom_site_type_symbol
_atom_site_fract_x
_atom_site_fract_y
_atom_site_fract_z
_atom_site_occupancy
Nd1 Nd 0.870 0.073 0.740 1
Nd2 Nd 0.792 0.844 0.584 1
Nd3 Nd 0.500 0.000 0.000 1
Nd4 Nd 0.130 0.927 0.260 1
Nd5 Nd 0.208 0.156 0.416 1
Ac1 Ac 0.608 0.584 0.216 1
Ac2 Ac 0.392 0.416 0.784 1
Ac3 Ac 0.041 0.300 0.083 1
Ac4 Ac 0.959 0.700 0.917 1
La1 La 0.233 0.645 0.467 1
La2 La 0.767 0.355 0.533 1
# **Space group**: No. 12
# **DOS(E_F)**: 1.581 states/eV per atom
# **Total energy**: -48.24 eV/f.u.
# **Volume**: 435.25 Å³/cell

---

Entry 4:
# Li2AcPS (GGA-PBE, optimized geometry)
data_Li2AcPS
_space_group_name_H-M_alt 'P 1'
_space_group_IT_number 1
_space_group_name_Hall 'P 1'
_cell_length_a 4.268
_cell_length_b 4.268
_cell_length_c 6.464
_cell_angle_alpha 90.00
_cell_angle_beta 90.00
_cell_angle_gamma 90.00
loop_
_atom_site_label
_atom_site_type_symbol
_atom_site_fract_x
_atom_site_fract_y
_atom_site_fract_z
_atom_site_occupancy
Li1 Li 0.500 0.000 0.909 1
Li2 Li 0.000 0.500 0.909 1
P1 P 0.500 0.500 0.631 1
Ac1 Ac 0.000 0.000 0.498 1
S1 S 0.000 0.000 0.053 1
# **Space group**: No. 99
# **Formation energy from raw total energies**: -1260 meV/atom
# **Volume**: 117.72 Å³/cell

---

Entry 5:
# ZnIrBr (GGA-PBE, optimized geometry)
data_ZnIrBr
_space_group_name_H-M_alt 'P 1'
_space_group_IT_number 1
_space_group_name_Hall 'P 1'
_cell_length_a 4.424
_cell_length_b 4.424
_cell_length_c 3.062
_cell_angle_alpha 90.00
_cell_angle_beta 90.00
_cell_angle_gamma 120.00
loop_
_atom_site_label
_atom_site_type_symbol
_atom_site_fract_x
_atom_site_fract_y
_atom_site_fract_z
_atom_site_occupancy
Zn1 Zn 0.333 0.667 0.668 1
Br1 Br 0.000 0.000 0.166 1
Ir1 Ir 0.667 0.333 0.166 1
# **Space group**: No. 187
# **Formation energy from raw total energies**: 624 meV/atom
# **DOS(E_F)**: 0.743 states/eV per atom
# **Energy above the most stable polymorph in this dataset**: 0.807 eV per formula unit
# **Volume**: 51.89 Å³/cell

---

Entry 6:
# NaPNO3 (GGA-PBE, optimized geometry)
data_NaPNO3
_space_group_name_H-M_alt 'P 1'
_space_group_IT_number 1
_space_group_name_Hall 'P 1'
_cell_length_a 5.748
_cell_length_b 5.748
_cell_length_c 6.535
_cell_angle_alpha 90.00
_cell_angle_beta 90.00
_cell_angle_gamma 120.00
loop_
_atom_site_label
_atom_site_type_symbol
_atom_site_fract_x
_atom_site_fract_y
_atom_site_fract_z
_atom_site_occupancy
N1 N 0.333 0.667 0.917 1
N2 N 0.667 0.333 0.417 1
O1 O 0.814 0.629 0.744 1
O2 O 0.371 0.186 0.744 1
O3 O 0.629 0.814 0.244 1
O4 O 0.186 0.371 0.244 1
O5 O 0.186 0.814 0.244 1
O6 O 0.814 0.186 0.744 1
P1 P 0.667 0.333 0.677 1
P2 P 0.333 0.667 0.177 1
Na1 Na 0.000 0.000 0.490 1
Na2 Na 0.000 0.000 0.990 1
# **Space group**: No. 186
# **Formation energy from raw total energies**: -872 meV/atom
# **DOS(E_F)**: 0.633 states/eV per atom
# **Volume**: 187.02 Å³/cell

---

Entry 7:
# HgMo3Ir (GGA-PBE, optimized geometry)
data_HgMo3Ir
_space_group_name_H-M_alt 'P 1'
_space_group_IT_number 1
_space_group_name_Hall 'P 1'
_cell_length_a 4.764
_cell_length_b 4.764
_cell_length_c 4.764
_cell_angle_alpha 90.00
_cell_angle_beta 90.00
_cell_angle_gamma 90.00
loop_
_atom_site_label
_atom_site_type_symbol
_atom_site_fract_x
_atom_site_fract_y
_atom_site_fract_z
_atom_site_occupancy
Mo1 Mo 0.500 0.000 0.000 1
Mo2 Mo 0.000 0.000 0.500 1
Mo3 Mo 0.000 0.500 0.000 1
Hg1 Hg 0.500 0.500 0.500 1
Ir1 Ir 0.000 0.000 0.000 1
# **Space group**: No. 221
# **DOS(E_F)**: 1.161 states/eV per atom
# **Energy above the most stable polymorph in this dataset**: 0.000 eV per formula unit
# **Volume**: 108.11 Å³/cell

---

Entry 8:
# CrInCl2 (GGA-PBE, optimized geometry)
data_CrInCl2
_space_group_name_H-M_alt 'P 1'
_space_group_IT_number 1
_space_group_name_Hall 'P 1'
_cell_length_a 3.369
_cell_length_b 3.572
_cell_length_c 9.975
_cell_angle_alpha 67.42
_cell_angle_beta 90.00
_cell_angle_gamma 90.00
loop_
_atom_site_label
_atom_site_type_symbol
_atom_site_fract_x
_atom_site_fract_y
_atom_site_fract_z
_atom_site_occupancy
Cl1 Cl 0.000 0.226 0.082 1
Cl2 Cl 0.000 0.274 0.418 1
Cr1 Cr 0.500 0.250 0.250 1
In1 In 0.500 0.750 0.750 1
# **Space group**: No. 10
# **Formation energy from raw total energies**: -505 meV/atom
# **DOS(E_F)**: 0.600 states/eV per atom
# **Energy above the most stable polymorph in this dataset**: 0.114 eV per formula unit
# **Volume**: 110.86 Å³/cell

---

Entry 9:
# PrThPdRu (GGA-PBE, optimized geometry)
data_PrThPdRu
_space_group_name_H-M_alt 'P 1'
_space_group_IT_number 1
_space_group_name_Hall 'P 1'
_cell_length_a 3.969
_cell_length_b 4.097
_cell_length_c 6.187
_cell_angle_alpha 90.00
_cell_angle_beta 108.71
_cell_angle_gamma 90.00
loop_
_atom_site_label
_atom_site_type_symbol
_atom_site_fract_x
_atom_site_fract_y
_atom_site_fract_z
_atom_site_occupancy
Ru1 Ru 0.597 0.500 0.194 1
Th1 Th 0.133 0.000 0.265 1
Pd1 Pd 0.417 0.000 0.833 1
Pr1 Pr 0.854 0.500 0.707 1
# **Space group**: No. 38
# **DOS(E_F)**: 0.783 states/eV per atom
# **Energy above the most stable polymorph in this dataset**: 0.000 eV per formula unit
# **Volume**: 95.29 Å³/cell

---

Entry 10:
# MgAg4Bi (GGA-PBE, optimized geometry)
data_MgAg4Bi
_space_group_name_H-M_alt 'P 1'
_space_group_IT_number 1
_space_group_name_Hall 'P 1'
_cell_length_a 5.625
_cell_length_b 5.625
_cell_length_c 5.625
_cell_angle_alpha 60.00
_cell_angle_beta 60.00
_cell_angle_gamma 60.00
loop_
_atom_site_label
_atom_site_type_symbol
_atom_site_fract_x
_atom_site_fract_y
_atom_site_fract_z
_atom_site_occupancy
Mg1 Mg 0.000 0.000 0.000 1
Ag1 Ag 0.626 0.123 0.626 1
Ag2 Ag 0.626 0.626 0.123 1
Ag3 Ag 0.626 0.626 0.626 1
Ag4 Ag 0.123 0.626 0.626 1
Bi1 Bi 0.250 0.250 0.250 1
# **Space group**: No. 216
# **DOS(E_F)**: 0.637 states/eV per atom
# **Energy above the most stable polymorph in this dataset**: 0.000 eV per formula unit
# **Volume**: 125.83 Å³/cell

---

Entry 11:
# LaMn2 (GGA-PBE, optimized geometry)
data_LaMn2
_space_group_name_H-M_alt 'P 1'
_space_group_IT_number 1
_space_group_name_Hall 'P 1'
_cell_length_a 8.054
_cell_length_b 8.054
_cell_length_c 3.537
_cell_angle_alpha 90.00
_cell_angle_beta 90.00
_cell_angle_gamma 147.83
loop_
_atom_site_label
_atom_site_type_symbol
_atom_site_fract_x
_atom_site_fract_y
_atom_site_fract_z
_atom_site_occupancy
Mn1 Mn 0.600 0.400 0.500 1
Mn2 Mn 0.400 0.600 0.500 1
Mn3 Mn 0.000 0.000 0.500 1
Mn4 Mn 0.500 0.500 0.000 1
La1 La 0.168 0.832 0.000 1
La2 La 0.832 0.168 0.000 1
# **Space group**: No. 65
# **DOS(E_F)**: 1.562 states/eV per atom
# **Total energy**: -22.41 eV/f.u.
# **Volume**: 122.14 Å³/cell

---

Entry 12:
# GdPuAgBi (GGA-PBE, optimized geometry)
data_GdPuAgBi
_space_group_name_H-M_alt 'P 1'
_space_group_IT_number 1
_space_group_name_Hall 'P 1'
_cell_length_a 5.370
_cell_length_b 5.370
_cell_length_c 5.370
_cell_angle_alpha 60.00
_cell_angle_beta 60.00
_cell_angle_gamma 60.00
loop_
_atom_site_label
_atom_site_type_symbol
_atom_site_fract_x
_atom_site_fract_y
_atom_site_fract_z
_atom_site_occupancy
Ag1 Ag 0.500 0.500 0.500 1
Pu1 Pu 0.750 0.750 0.750 1
Gd1 Gd 0.250 0.250 0.250 1
Bi1 Bi 0.000 0.000 0.000 1
# **Space group**: No. 216
# **DOS(E_F)**: 2.856 states/eV per atom
# **Total energy**: -36.24 eV/f.u.
# **Volume**: 109.48 Å³/cell

---

Entry 13:
# Ce2PaIn (GGA-PBE, optimized geometry)
data_Ce2PaIn
_space_group_name_H-M_alt 'P 1'
_space_group_IT_number 1
_space_group_name_Hall 'P 1'
_cell_length_a 4.672
_cell_length_b 4.767
_cell_length_c 4.767
_cell_angle_alpha 90.00
_cell_angle_beta 90.00
_cell_angle_gamma 90.00
loop_
_atom_site_label
_atom_site_type_symbol
_atom_site_fract_x
_atom_site_fract_y
_atom_site_fract_z
_atom_site_occupancy
Pa1 Pa 0.500 0.000 0.000 1
Ce1 Ce 0.000 0.000 0.500 1
Ce2 Ce 0.000 0.500 0.000 1
In1 In 0.500 0.500 0.500 1
# **Space group**: No. 123
# **DOS(E_F)**: 2.750 states/eV per atom
# **Energy above the most stable polymorph in this dataset**: 0.269 eV per formula unit
# **Volume**: 106.17 Å³/cell

---

Entry 14:
# Ce2PdS4 (GGA-PBE, optimized geometry)
data_Ce2PdS4
_space_group_name_H-M_alt 'P 1'
_space_group_IT_number 1
_space_group_name_Hall 'P 1'
_cell_length_a 4.149
_cell_length_b 7.031
_cell_length_c 10.590
_cell_angle_alpha 90.00
_cell_angle_beta 90.00
_cell_angle_gamma 90.00
loop_
_atom_site_label
_atom_site_type_symbol
_atom_site_fract_x
_atom_site_fract_y
_atom_site_fract_z
_atom_site_occupancy
S1 S 0.500 0.258 0.440 1
S2 S 0.000 0.107 0.713 1
S3 S 0.500 0.742 0.560 1
S4 S 0.500 0.242 0.940 1
S5 S 0.000 0.607 0.787 1
S6 S 0.500 0.758 0.060 1
S7 S 0.000 0.893 0.287 1
S8 S 0.000 0.393 0.213 1
Ce1 Ce 0.500 0.879 0.818 1
Ce2 Ce 0.500 0.379 0.682 1
Ce3 Ce 0.500 0.121 0.182 1
Ce4 Ce 0.500 0.621 0.318 1
Pd1 Pd 0.000 0.000 0.500 1
Pd2 Pd 0.000 0.500 0.000 1
# **Space group**: No. 55
# **Formation energy from raw total energies**: -1425 meV/atom
# **DOS(E_F)**: 1.450 states/eV per atom
# **Energy above the most stable polymorph in this dataset**: 0.439 eV per formula unit
# **Volume**: 308.97 Å³/cell

---

Entry 15:
# ErZrTl (GGA-PBE, optimized geometry)
data_ErZrTl
_space_group_name_H-M_alt 'P 1'
_space_group_IT_number 1
_space_group_name_Hall 'P 1'
_cell_length_a 4.362
_cell_length_b 4.362
_cell_length_c 8.813
_cell_angle_alpha 104.33
_cell_angle_beta 104.33
_cell_angle_gamma 90.00
loop_
_atom_site_label
_atom_site_type_symbol
_atom_site_fract_x
_atom_site_fract_y
_atom_site_fract_z
_atom_site_occupancy
Er1 Er 0.173 0.173 0.346 1
Er2 Er 0.827 0.827 0.654 1
Tl1 Tl 0.364 0.364 0.729 1
Tl2 Tl 0.636 0.636 0.271 1
Zr1 Zr 0.500 0.000 0.000 1
Zr2 Zr 0.000 0.500 0.000 1
# **Space group**: No. 139
# **DOS(E_F)**: 0.828 states/eV per atom
# **Energy above the most stable polymorph in this dataset**: 0.000 eV per formula unit
# **Volume**: 157.09 Å³/cell

---

Entry 16:
# Pr3Nd3Si4 (GGA-PBE, optimized geometry)
data_Pr3Nd3Si4
_space_group_name_H-M_alt 'P 1'
_space_group_IT_number 1
_space_group_name_Hall 'P 1'
_cell_length_a 4.378
_cell_length_b 7.804
_cell_length_c 7.804
_cell_angle_alpha 89.79
_cell_angle_beta 90.00
_cell_angle_gamma 90.00
loop_
_atom_site_label
_atom_site_type_symbol
_atom_site_fract_x
_atom_site_fract_y
_atom_site_fract_z
_atom_site_occupancy
Pr1 Pr 0.500 0.322 0.324 1
Pr2 Pr 0.500 0.676 0.678 1
Pr3 Pr 0.500 0.824 0.176 1
Si1 Si 0.000 0.112 0.109 1
Si2 Si 0.000 0.891 0.888 1
Si3 Si 0.000 0.388 0.612 1
Si4 Si 0.000 0.610 0.390 1
Nd1 Nd 0.000 0.999 0.499 1
Nd2 Nd 0.000 0.501 0.001 1
Nd3 Nd 0.500 0.177 0.823 1
# **Space group**: No. 38
# **Formation energy from raw total energies**: -626 meV/atom
# **DOS(E_F)**: 1.092 states/eV per atom
# **Volume**: 266.63 Å³/cell